Entry 1:
Material: PdPbSO
Method: DFT, PBE
State: relaxed

Values from the calculation:
As for the energy above the most stable polymorph in this dataset: 149.5 meV per atom.

abc: 5.8332 6.4600 7.9717
angles: 90.00 90.00 90.00
Closest atoms and distances in Å follow each position.
Positions (direct):
O 0.0639 0.0763 0.1012  1 Pd 2.23, 3 Pb 2.33-2.43
O 0.5639 0.4237 0.1012  1 Pd 2.23, 3 Pb 2.33-2.43
O 0.0639 0.5763 0.8988  1 Pd 2.23, 3 Pb 2.33-2.43
O 0.5639 0.9237 0.8988  1 Pd 2.23, 3 Pb 2.33-2.43
Pb 0.4728 0.0684 0.1575  3 O 2.33-2.43
Pb 0.9728 0.4316 0.1575  3 O 2.33-2.43
Pb 0.4728 0.5684 0.8425  3 O 2.33-2.43
Pb 0.9728 0.9316 0.8425  3 O 2.33-2.43
Pd 0.5149 0.6118 0.3329  1 O 2.23, 3 S 2.29-2.42
Pd 0.0149 0.8882 0.3329  1 O 2.23, 3 S 2.29-2.42
Pd 0.5149 0.1118 0.6671  1 O 2.23, 3 S 2.29-2.42
Pd 0.0149 0.3882 0.6671  1 O 2.23, 3 S 2.29-2.42
S 0.1984 0.1618 0.4911  3 Pd 2.29-2.42
S 0.6984 0.3382 0.4911  3 Pd 2.29-2.42
S 0.1984 0.6618 0.5089  3 Pd 2.29-2.42
S 0.6984 0.8382 0.5089  3 Pd 2.29-2.42



Entry 2:
Material: PdPbSO
Method: DFT, PBE
State: relaxed

Values from the calculation:
As for the energy above the most stable polymorph in this dataset: 0.0 meV per atom.

abc: 6.2019 18.1039 6.1164
angles: 90.00 90.00 90.00
Closest atoms and distances in Å follow each position.
Positions (direct):
O 0.8083 0.2349 0.1483  3 Pb 2.23-2.28
O 0.6917 0.7349 0.1483  3 Pb 2.23-2.28
O 0.3083 0.2349 0.3517  3 Pb 2.23-2.28
O 0.1917 0.7349 0.3517  3 Pb 2.23-2.28
O 0.8083 0.2651 0.6483  3 Pb 2.23-2.28
O 0.6917 0.7651 0.6483  3 Pb 2.23-2.28
O 0.3083 0.2651 0.8517  3 Pb 2.23-2.28
O 0.1917 0.7651 0.8517  3 Pb 2.23-2.28
Pb 0.1353 0.1848 0.0649  3 O 2.23-2.28
Pb 0.3647 0.6848 0.0649  3 O 2.23-2.28
Pb 0.6353 0.1848 0.4351  3 O 2.23-2.28
Pb 0.8647 0.6848 0.4351  3 O 2.23-2.28
Pb 0.1353 0.3152 0.5649  3 O 2.23-2.28
Pb 0.3647 0.8152 0.5649  3 O 2.23-2.28
Pb 0.6353 0.3152 0.9351  3 O 2.23-2.28
Pb 0.8647 0.8152 0.9351  3 O 2.23-2.28
Pd 0.2264 0.0000 0.0019  4 S 2.36-2.44
Pd 0.2736 0.4999 0.0019  4 S 2.36-2.44
Pd 0.7264 0.0000 0.4981  4 S 2.36-2.44
Pd 0.7736 0.4999 0.4981  4 S 2.36-2.44
Pd 0.2736 0.0000 0.5019  4 S 2.36-2.44
Pd 0.2264 0.5001 0.5019  4 S 2.36-2.44
Pd 0.7736 0.0000 0.9981  4 S 2.36-2.44
Pd 0.7264 0.5001 0.9981  4 S 2.36-2.44
S 0.9993 0.4461 0.2170  4 Pd 2.36-2.44
S 0.5007 0.9461 0.2170  4 Pd 2.36-2.44
S 0.4993 0.4461 0.2830  4 Pd 2.36-2.44
S 0.0007 0.9461 0.2830  4 Pd 2.36-2.44
S 0.9993 0.0539 0.7170  4 Pd 2.36-2.44
S 0.5007 0.5539 0.7170  4 Pd 2.36-2.44
S 0.4993 0.0539 0.7830  4 Pd 2.36-2.44
S 0.0007 0.5539 0.7830  4 Pd 2.36-2.44



The highest energy above the most stable polymorph in this dataset belongs to which entry? number 1



energy above the most stable polymorph in this dataset of number 2 (PdPbSO)? 0.0 meV per atom



Number 1 is which compound? PdPbSO